Entry 1:
Computed, not measured: Pm2TeS after structural relaxation at the PBE level of DFT.

Space group ... Fm-3m
Volume ... 101.1 Å³ per cell
Total magnetic moment ... 0.0001 μB/atom
Energy ... -5.60 eV/atom

a b c (Å): 5.2297 5.2297 5.2297
angles (deg): 60.00 60.00 60.00
Sites, in units of the cell vectors:
Pm 0.2500 0.2500 0.2500
Pm 0.7500 0.7500 0.7500
S 0.5000 0.5000 0.5000
Te 0.0000 0.0000 0.0000

***

Entry 2:
Computed, not measured: ScTlTe2 after structural relaxation at the PBE level of DFT.

Space group ... R-3m
Volume ... 128.6 Å³ per cell
Total magnetic moment ... 0.0000 μB/atom
Energy ... -4.67 eV/atom

a b c (Å): 8.5083 8.5083 8.5083
angles (deg): 29.07 29.07 29.07
Sites, in units of the cell vectors:
Te 0.2659 0.2659 0.2659
Te 0.7341 0.7341 0.7341
Tl 0.5000 0.5000 0.5000
Sc 0.0000 0.0000 0.0000

***

Entry 3:
Computed, not measured: Al2Ag5Au12 after structural relaxation at the PBE level of DFT.

Space group ... C2/m
Volume ... 343.8 Å³ per cell
E_form ... -0.111 eV per atom
Total magnetic moment ... 0.0000 μB/atom

a b c (Å): 9.2079 9.3848 5.5994
angles (deg): 120.29 90.00 119.38
Sites, in units of the cell vectors:
Ag 0.7743 0.5486 0.0834
Ag 0.2257 0.4514 0.9166
Ag 0.3156 0.6312 0.5466
Ag 0.0000 0.0000 0.5000
Ag 0.6844 0.3688 0.4534
Au 0.1024 0.2047 0.2360
Au 0.4569 0.9138 0.1788
Au 0.0594 0.6214 0.8286
Au 0.6350 0.8006 0.4328
Au 0.8344 0.1994 0.5672
Au 0.3650 0.1994 0.5672
Au 0.8976 0.7953 0.7640
Au 0.1656 0.8006 0.4328
Au 0.4380 0.3786 0.1714
Au 0.9406 0.3786 0.1714
Au 0.5620 0.6214 0.8286
Au 0.5431 0.0862 0.8212
Al 0.7459 0.0000 0.0000
Al 0.2541 0.0000 0.0000

***

> Look up the total magnetic moment of the second one.

0.0000 μB/atom